1.
Entry from Alexandria via LeMat-Bulk: crystalline Sm5Pu2Ge4 at its relaxed geometry (PBE-GGA).

Cell: 12.980 12.980 6.996 Å, 90.82 90.82 15.54°
Positions (direct):
1 Sm 0.000 0.000 0.000
2 Sm 0.270 0.270 0.756
3 Sm 0.367 0.367 0.185
4 Sm 0.633 0.633 0.815
5 Sm 0.730 0.730 0.244
6 Pu 0.407 0.407 0.692
7 Pu 0.593 0.593 0.308
8 Ge 0.173 0.173 0.510
9 Ge 0.475 0.475 0.344
10 Ge 0.525 0.525 0.656
11 Ge 0.827 0.827 0.490

Output
Calculated total energy   -73.224 eV for the cell shown
Energy of formation   -226.9 meV/atom

***

2.
Entry from Alexandria via LeMat-Bulk: crystalline SmPu2Ge at its relaxed geometry (PBE-GGA).

Cell: 7.380 7.380 7.380 Å, 90.00 90.00 90.00°
Positions (direct):
1 Sm 0.000 0.000 0.000
2 Sm 0.000 0.500 0.500
3 Sm 0.500 0.000 0.500
4 Sm 0.500 0.500 0.000
5 Pu 0.250 0.250 0.250
6 Pu 0.250 0.250 0.750
7 Pu 0.250 0.750 0.250
8 Pu 0.250 0.750 0.750
9 Pu 0.750 0.250 0.250
10 Pu 0.750 0.250 0.750
11 Pu 0.750 0.750 0.250
12 Pu 0.750 0.750 0.750
13 Ge 0.000 0.000 0.500
14 Ge 0.000 0.500 0.000
15 Ge 0.500 0.000 0.000
16 Ge 0.500 0.500 0.500

Output
Calculated total energy   -151.113 eV for the cell shown
Energy of formation   55.5 meV/atom
Offset from the most stable computed form   326 meV per atom

***

3.
Entry from Alexandria via LeMat-Bulk: crystalline SmPu2Ge2 at its relaxed geometry (PBE-GGA).

Cell: 5.532 3.561 12.091 Å, 90.00 101.56 90.00°
Positions (direct):
1 Sm 0.230 0.250 0.231
2 Sm 0.770 0.750 0.769
3 Pu 0.099 0.250 0.552
4 Pu 0.364 0.750 0.992
5 Pu 0.636 0.250 0.008
6 Pu 0.901 0.750 0.448
7 Ge 0.281 0.250 0.794
8 Ge 0.387 0.750 0.432
9 Ge 0.613 0.250 0.568
10 Ge 0.719 0.750 0.206

Output
Calculated total energy   -86.569 eV for the cell shown
Energy of formation   -133.4 meV/atom
Offset from the most stable computed form   285 meV per atom

***

4.
Entry from Alexandria via LeMat-Bulk: crystalline SmPu4Ge5 at its relaxed geometry (PBE-GGA).

Cell: 3.846 3.846 14.280 Å, 90.00 90.00 90.00°
Positions (direct):
1 Sm 0.000 0.000 0.000
2 Pu 0.000 0.000 0.223
3 Pu 0.000 0.000 0.420
4 Pu 0.000 0.000 0.580
5 Pu 0.000 0.000 0.777
6 Ge 0.500 0.500 0.112
7 Ge 0.500 0.500 0.318
8 Ge 0.500 0.500 0.500
9 Ge 0.500 0.500 0.682
10 Ge 0.500 0.500 0.888

Output
Calculated total energy   -87.814 eV for the cell shown
Energy of formation   -268.1 meV/atom

***

5.
Entry from Alexandria via LeMat-Bulk: crystalline SmPu5Ge6 at its relaxed geometry (PBE-GGA).

Cell: 7.362 7.362 8.250 Å, 90.00 90.00 143.19°
Positions (direct):
1 Sm 0.000 0.000 0.000
2 Pu 0.000 0.000 0.500
3 Pu 0.326 0.674 0.000
4 Pu 0.332 0.668 0.500
5 Pu 0.668 0.332 0.500
6 Pu 0.674 0.326 0.000
7 Ge 0.166 0.834 0.252
8 Ge 0.166 0.834 0.748
9 Ge 0.500 0.500 0.251
10 Ge 0.500 0.500 0.749
11 Ge 0.834 0.166 0.252
12 Ge 0.834 0.166 0.748

Output
Calculated total energy   -109.582 eV for the cell shown
Energy of formation   -458.3 meV/atom

***

6.
Entry from Alexandria via LeMat-Bulk: crystalline Sm2PuGe3 at its relaxed geometry (PBE-GGA).

Cell: 4.219 5.936 12.659 Å, 90.00 90.00 90.00°
Positions (direct):
1 Sm 0.000 0.000 0.170
2 Sm 0.000 0.000 0.830
3 Sm 0.500 0.500 0.330
4 Sm 0.500 0.500 0.670
5 Pu 0.000 0.000 0.500
6 Pu 0.500 0.500 0.000
7 Ge 0.000 0.500 0.157
8 Ge 0.000 0.500 0.500
9 Ge 0.000 0.500 0.843
10 Ge 0.500 0.000 0.000
11 Ge 0.500 0.000 0.343
12 Ge 0.500 0.000 0.657

Output
Calculated total energy   -81.443 eV for the cell shown
Energy of formation   -516.5 meV/atom

***

7.
Entry from Alexandria via LeMat-Bulk: crystalline SmPu2Zn2Ge2 at its relaxed geometry (PBE-GGA).

Cell: 9.464 9.464 9.464 Å, 24.93 24.93 24.93°
Positions (direct):
1 Sm 0.000 0.000 0.000
2 Pu 0.152 0.152 0.152
3 Pu 0.848 0.848 0.848
4 Zn 0.416 0.416 0.416
5 Zn 0.584 0.584 0.584
6 Ge 0.262 0.262 0.262
7 Ge 0.738 0.738 0.738

Output
Calculated total energy   -46.756 eV for the cell shown
Energy of formation   -227.1 meV/atom

***

8.
Entry from Alexandria via LeMat-Bulk: crystalline SmPuZnGe at its relaxed geometry (PBE-GGA).

Cell: 7.208 7.208 7.208 Å, 90.00 90.00 90.00°
Positions (direct):
1 Sm 0.000 0.000 0.000
2 Sm 0.000 0.500 0.500
3 Sm 0.500 0.000 0.500
4 Sm 0.500 0.500 0.000
5 Pu 0.000 0.000 0.500
6 Pu 0.000 0.500 0.000
7 Pu 0.500 0.000 0.000
8 Pu 0.500 0.500 0.500
9 Zn 0.250 0.250 0.250
10 Zn 0.250 0.750 0.750
11 Zn 0.750 0.250 0.750
12 Zn 0.750 0.750 0.250
13 Ge 0.250 0.250 0.750
14 Ge 0.250 0.750 0.250
15 Ge 0.750 0.250 0.250
16 Ge 0.750 0.750 0.750

Output
Calculated total energy   -105.574 eV for the cell shown
Energy of formation   -362.8 meV/atom

***

9.
Entry from Alexandria via LeMat-Bulk: crystalline Pu2SnGe at its relaxed geometry (PBE-GGA).

Cell: 4.630 4.630 4.467 Å, 90.00 90.00 90.00°
Positions (direct):
1 Pu 0.000 0.500 0.000
2 Pu 0.500 0.000 0.000
3 Sn 0.000 0.000 0.500
4 Ge 0.500 0.500 0.500

Output
Calculated total energy   -38.806 eV for the cell shown
Energy of formation   -380.5 meV/atom

***

10.
Entry from Alexandria via LeMat-Bulk: crystalline PuSnGe2 at its relaxed geometry (PBE-GGA).

Cell: 5.091 5.091 12.139 Å, 90.00 90.00 120.00°
Positions (direct):
1 Pu 0.000 0.000 0.000
2 Pu 0.333 0.667 0.667
3 Pu 0.667 0.333 0.333
4 Sn 0.000 0.000 0.500
5 Sn 0.333 0.667 0.167
6 Sn 0.667 0.333 0.833
7 Ge 0.000 0.000 0.251
8 Ge 0.000 0.000 0.749
9 Ge 0.333 0.667 0.416
10 Ge 0.333 0.667 0.917
11 Ge 0.667 0.333 0.083
12 Ge 0.667 0.333 0.584

Output
Calculated total energy   -83.234 eV for the cell shown
Energy of formation   -43.8 meV/atom
Offset from the most stable computed form   298 meV per atom

***

11.
Entry from Alexandria via LeMat-Bulk: crystalline Pu12SnGe5 at its relaxed geometry (PBE-GGA).

Cell: 8.439 8.439 8.439 Å, 114.86 112.09 101.74°
Positions (direct):
1 Pu 0.036 0.820 0.217
2 Pu 0.241 0.546 0.304
3 Pu 0.241 0.937 0.696
4 Pu 0.275 0.307 0.582
5 Pu 0.275 0.693 0.968
6 Pu 0.397 0.180 0.217
7 Pu 0.603 0.820 0.783
8 Pu 0.725 0.307 0.032
9 Pu 0.725 0.693 0.418
10 Pu 0.759 0.063 0.304
11 Pu 0.759 0.454 0.696
12 Pu 0.964 0.180 0.783
13 Sn 0.500 0.000 0.500
14 Ge 0.000 0.141 0.141
15 Ge 0.000 0.500 0.500
16 Ge 0.000 0.859 0.859
17 Ge 0.379 0.379 0.000
18 Ge 0.621 0.621 0.000

Output
Calculated total energy   -203.109 eV for the cell shown
Energy of formation   -224.2 meV/atom

***

12.
Entry from Alexandria via LeMat-Bulk: crystalline Pu2SnGe at its relaxed geometry (PBE-GGA).

Cell: 3.300 3.300 8.773 Å, 90.00 90.00 90.00°
Positions (direct):
1 Pu 0.000 0.000 0.230
2 Pu 0.000 0.000 0.770
3 Sn 0.500 0.500 0.500
4 Ge 0.500 0.500 0.000

Output
Calculated total energy   -38.985 eV for the cell shown
Energy of formation   -425.3 meV/atom